Entry 1:
# NiP2Cl (meta-GGA SCAN, single point on PBEsol structure)
# Energy above the most stable polymorph in this dataset: 0.000 eV/atom
# Volume: 67 Å³/cell
# Total energy: -10.9931 eV per atom
# Magnetization: 1.23 μB per cell
data_NiP2Cl
_space_group_name_H-M_alt 'P 4/m m m'
_space_group_IT_number 123
_space_group_name_Hall '-P 4 2'
_cell_length_a 3.231
_cell_length_b 3.231
_cell_length_c 6.448
_cell_angle_alpha 90.00
_cell_angle_beta 90.00
_cell_angle_gamma 90.00
loop_
_atom_site_label
_atom_site_fract_x
_atom_site_fract_y
_atom_site_fract_z
Ni1 0.000 0.000 0.000
P1 0.000 0.500 0.500
Cl1 0.500 0.500 0.000

Entry 2:
# Te2WCl6 (meta-GGA SCAN, single point on PBEsol structure)
# Volume: 496 Å³/cell
# Total energy: -22.0393 eV per atom
# Magnetization: 1.66 μB per cell
data_Te2WCl6
_space_group_name_H-M_alt 'P -1'
_space_group_IT_number 2
_cell_length_a 6.274
_cell_length_b 7.545
_cell_length_c 11.123
_cell_angle_alpha 102.56
_cell_angle_beta 104.66
_cell_angle_gamma 91.38
loop_
_space_group_symop_operation_xyz
'x,y,z'
'-x,-y,-z'
loop_
_atom_site_label
_atom_site_fract_x
_atom_site_fract_y
_atom_site_fract_z
Te1 0.117 0.088 0.181
Te2 0.256 0.861 0.995
W1 0.302 0.335 0.696
Cl1 0.050 0.796 0.393
Cl2 0.190 0.625 0.691
Cl3 0.248 0.369 0.898
Cl4 0.338 0.546 0.212
Cl5 0.364 0.299 0.498
Cl6 0.417 0.043 0.709

Entry 3:
# CsZnBi (meta-GGA SCAN, single point on PBEsol structure)
# Volume: 114 Å³/cell
# Total energy: -43.6641 eV per atom
# Magnetization: 0.00 μB per cell
# E_form: -362 meV per atom
data_CsZnBi
_space_group_name_H-M_alt 'P -6 m 2'
_space_group_IT_number 187
_space_group_name_Hall 'P -6 2'
_cell_length_a 4.6879
_cell_length_b 4.6879
_cell_length_c 5.9707
_cell_angle_alpha 90.00
_cell_angle_beta 90.00
_cell_angle_gamma 120.00
loop_
_atom_site_label
_atom_site_fract_x
_atom_site_fract_y
_atom_site_fract_z
Cs1 0.0000 0.0000 0.0000
Zn1 0.3333 0.6667 0.5000
Bi1 0.6667 0.3333 0.5000

Entry 4:
# PaNi3 (meta-GGA SCAN, single point on PBEsol structure)
# Volume: 111 Å³/cell
# Total energy: -37.4094 eV per atom
# Magnetization: 0.00 μB per cell
# E_form: -363 meV per atom
data_PaNi3
_space_group_name_H-M_alt 'P 63/m m c'
_space_group_IT_number 194
_space_group_name_Hall '-P 6c 2c'
_cell_length_a 5.2419
_cell_length_b 5.2419
_cell_length_c 4.6770
_cell_angle_alpha 90.00
_cell_angle_beta 90.00
_cell_angle_gamma 120.00
loop_
_atom_site_label
_atom_site_fract_x
_atom_site_fract_y
_atom_site_fract_z
Pa1 0.3333 0.6667 0.2500
Ni1 0.1593 0.3187 0.7500

Entry 5:
# Ba2CdP (meta-GGA SCAN, single point on PBEsol structure)
# Energy above the most stable polymorph in this dataset: 0.343 eV/atom
# Volume: 475 Å³/cell
# Total energy: -30.1202 eV per atom
# Magnetization: 0.00 μB per cell
# E_form: -142 meV per atom
data_Ba2CdP
_space_group_name_H-M_alt 'F -4 3 m'
_space_group_IT_number 216
_space_group_name_Hall 'F -4 2 3'
_cell_length_a 7.805
_cell_length_b 7.805
_cell_length_c 7.805
_cell_angle_alpha 90.00
_cell_angle_beta 90.00
_cell_angle_gamma 90.00
loop_
_atom_site_label
_atom_site_fract_x
_atom_site_fract_y
_atom_site_fract_z
Ba1 0.000 0.000 0.000
Ba2 0.250 0.250 0.250
Cd1 0.000 0.000 0.500
P1 0.250 0.250 0.750

Entry 6:
# MnIrI2F (meta-GGA SCAN, single point on PBEsol structure)
# Volume: 102 Å³/cell
# Total energy: -33.2161 eV per atom
# Magnetization: 3.12 μB per cell
data_MnIrI2F
_space_group_name_H-M_alt 'P 4/m m m'
_space_group_IT_number 123
_space_group_name_Hall '-P 4 2'
_cell_length_a 5.253
_cell_length_b 5.253
_cell_length_c 3.680
_cell_angle_alpha 90.00
_cell_angle_beta 90.00
_cell_angle_gamma 90.00
loop_
_atom_site_label
_atom_site_fract_x
_atom_site_fract_y
_atom_site_fract_z
Mn1 0.000 0.000 0.000
Ir1 0.500 0.500 0.500
I1 0.000 0.500 0.000
F1 0.000 0.000 0.500

Entry 7:
# NiOsCl2 (meta-GGA SCAN, single point on PBEsol structure)
# Energy above the most stable polymorph in this dataset: 0.000 eV/atom
# Volume: 63 Å³/cell
# Total energy: -25.5536 eV per atom
# Magnetization: 1.02 μB per cell
data_NiOsCl2
_space_group_name_H-M_alt 'P 4 m m'
_space_group_IT_number 99
_cell_length_a 2.892
_cell_length_b 2.892
_cell_length_c 7.488
_cell_angle_alpha 90.00
_cell_angle_beta 90.00
_cell_angle_gamma 90.00
loop_
_space_group_symop_operation_xyz
'x,y,z'
'-y,x,z'
'-x,-y,z'
'y,-x,z'
'-x,y,z'
'y,x,z'
'x,-y,z'
'-y,-x,z'
loop_
_atom_site_label
_atom_site_fract_x
_atom_site_fract_y
_atom_site_fract_z
Ni1 0.000 0.000 0.000
Os1 0.500 0.500 0.207
Cl1 0.000 0.000 0.415
Cl2 0.500 0.500 0.806

Entry 8:
# SrLi2Ca (meta-GGA SCAN, single point on PBEsol structure)
# Energy above the most stable polymorph in this dataset: 0.020 eV/atom
# Volume: 268 Å³/cell
# Total energy: -9.1482 eV per atom
# Magnetization: 0.06 μB per cell
# E_form: 31 meV per atom
data_SrLi2Ca
_space_group_name_H-M_alt 'C 1 m 1'
_space_group_IT_number 8
_cell_length_a 12.784
_cell_length_b 3.953
_cell_length_c 5.765
_cell_angle_alpha 90.00
_cell_angle_beta 113.07
_cell_angle_gamma 90.00
loop_
_space_group_symop_operation_xyz
'x,y,z'
'x,-y,z'
'x+1/2,y+1/2,z'
'x+1/2,-y+1/2,z'
loop_
_atom_site_label
_atom_site_fract_x
_atom_site_fract_y
_atom_site_fract_z
Sr1 0.000 0.000 0.000
Li1 0.049 0.500 0.543
Li2 0.236 0.000 0.761
Ca1 0.289 0.500 0.312

Entry 9:
# Ni2SbAs (meta-GGA SCAN, single point on PBEsol structure)
# Volume: 65 Å³/cell
# Total energy: -22.5054 eV per atom
# Magnetization: 0.00 μB per cell
data_Ni2SbAs
_space_group_name_H-M_alt 'P 4 m m'
_space_group_IT_number 99
_cell_length_a 3.113
_cell_length_b 3.113
_cell_length_c 6.712
_cell_angle_alpha 90.00
_cell_angle_beta 90.00
_cell_angle_gamma 90.00
loop_
_space_group_symop_operation_xyz
'x,y,z'
'-y,x,z'
'-x,-y,z'
'y,-x,z'
'-x,y,z'
'y,x,z'
'x,-y,z'
'-y,-x,z'
loop_
_atom_site_label
_atom_site_fract_x
_atom_site_fract_y
_atom_site_fract_z
Ni1 0.000 0.000 0.000
Ni2 0.500 0.500 0.200
Sb1 0.000 0.000 0.408
As1 0.500 0.500 0.843

Entry 10:
# KSc2Au (meta-GGA SCAN, single point on PBEsol structure)
# Energy above the most stable polymorph in this dataset: 0.463 eV/atom
# Volume: 184 Å³/cell
# Total energy: -26.2531 eV per atom
# Magnetization: 0.00 μB per cell
# E_form: 237 meV per atom
data_KSc2Au
_space_group_name_H-M_alt 'I -4 m 2'
_space_group_IT_number 119
_space_group_name_Hall 'I -4 -2'
_cell_length_a 4.263
_cell_length_b 4.263
_cell_length_c 10.144
_cell_angle_alpha 90.00
_cell_angle_beta 90.00
_cell_angle_gamma 90.00
loop_
_atom_site_label
_atom_site_fract_x
_atom_site_fract_y
_atom_site_fract_z
K1 0.000 0.000 0.000
Sc1 0.000 0.000 0.500
Sc2 0.000 0.500 0.250
Au1 0.000 0.500 0.750

Entry 11:
# BaLaN2 (meta-GGA SCAN, single point on PBEsol structure)
# Volume: 275 Å³/cell
# Total energy: -25.6330 eV per atom
# Magnetization: 4.01 μB per cell
data_BaLaN2
_space_group_name_H-M_alt 'F m -3 m'
_space_group_IT_number 225
_space_group_name_Hall '-F 4 2 3'
_cell_length_a 6.502
_cell_length_b 6.502
_cell_length_c 6.502
_cell_angle_alpha 90.00
_cell_angle_beta 90.00
_cell_angle_gamma 90.00
loop_
_atom_site_label
_atom_site_fract_x
_atom_site_fract_y
_atom_site_fract_z
Ba1 0.000 0.000 0.000
La1 0.000 0.000 0.500
N1 0.250 0.250 0.250

Entry 12:
# TcIr7 (meta-GGA SCAN, single point on PBEsol structure)
# Volume: 448 Å³/cell
# Total energy: -66.6844 eV per atom
# Magnetization: 0.00 μB per cell
# E_form: -90 meV per atom
data_TcIr7
_space_group_name_H-M_alt 'F m -3 m'
_space_group_IT_number 225
_space_group_name_Hall '-F 4 2 3'
_cell_length_a 7.654
_cell_length_b 7.654
_cell_length_c 7.654
_cell_angle_alpha 90.00
_cell_angle_beta 90.00
_cell_angle_gamma 90.00
loop_
_atom_site_label
_atom_site_fract_x
_atom_site_fract_y
_atom_site_fract_z
Tc1 0.000 0.000 0.000
Ir1 0.000 0.000 0.500
Ir2 0.000 0.250 0.250

Entry 13:
# YMoIr3 (meta-GGA SCAN, single point on PBEsol structure)
# Volume: 103 Å³/cell
# Total energy: -54.6328 eV per atom
# Magnetization: 0.00 μB per cell
# E_form: 572 meV per atom
data_YMoIr3
_space_group_name_H-M_alt 'P m -3 m'
_space_group_IT_number 221
_space_group_name_Hall '-P 4 2 3'
_cell_length_a 4.685
_cell_length_b 4.685
_cell_length_c 4.685
_cell_angle_alpha 90.00
_cell_angle_beta 90.00
_cell_angle_gamma 90.00
loop_
_atom_site_label
_atom_site_fract_x
_atom_site_fract_y
_atom_site_fract_z
Y1 0.000 0.000 0.000
Mo1 0.500 0.500 0.500
Ir1 0.000 0.500 0.500